The following is a PBE calculation of a geometry-optimized Al2SiCl structure, from Alexandria via LeMat-Bulk.

Cell and atoms, written as POSCAR:
```
Al2SiCl
1.0
3.653 -3.640 0.000
3.653 3.640 0.000
-0.400 0.000 2.926
Al Si Cl
2 1 1
direct
0.000 0.500 0.000
0.500 0.000 0.000
0.000 0.000 0.000
0.500 0.500 0.000
```

Values from the calculation:
Space-group type: No. 12
Energy above the most stable polymorph in this dataset in eV per formula unit: 0.05